Density functional theory data (meta-GGA SCAN) for a crystal of Ca2PBr relaxed with PBEsol.

## Properties
ρ ... 2.302 g/cm³
Volume ... 275.5 Å³/cell
Magnetic moment ... 0.000 Bohr magnetons per cell
Raw formation energy ... -1425 meV per atom

Unit cell a=8.1459 b=8.1459 c=8.1459 alpha=133.95 beta=133.95 gamma=67.16
Fractional coordinates of all 8 atoms:
Ca1 0.0866 0.6250 0.9616
Ca2 0.3750 0.3366 0.4616
Ca3 0.6634 0.1250 0.0384
Ca4 0.8750 0.9134 0.5384
P1 0.0000 0.0000 0.0000
P2 0.7500 0.2500 0.5000
Br1 0.2500 0.7500 0.5000
Br2 0.5000 0.5000 0.0000

=====

Density functional theory data (meta-GGA SCAN) for a crystal of Ca2PBr relaxed with PBEsol.

## Properties
ρ ... 3.452 g/cm³
Volume ... 91.9 Å³/cell
Magnetic moment ... 0.000 Bohr magnetons per cell
Raw formation energy ... -1441 meV per atom

Unit cell a=5.0655 b=5.0655 c=5.0655 alpha=60.00 beta=60.00 gamma=60.00
Fractional coordinates of all 4 atoms:
Ca1 0.2500 0.2500 0.2500
Ca2 0.7500 0.7500 0.7500
P1 0.0000 0.0000 0.0000
Br1 0.5000 0.5000 0.5000

=====

Density functional theory data (meta-GGA SCAN) for a crystal of Ca2PBr relaxed with PBEsol.

## Properties
ρ ... 2.965 g/cm³
Volume ... 107.0 Å³/cell
Magnetic moment ... 0.000 Bohr magnetons per cell
Raw formation energy ... -1701 meV per atom

Unit cell a=7.6299 b=7.6299 c=7.6299 alpha=31.40 beta=31.40 gamma=31.40
Fractional coordinates of all 4 atoms:
Ca1 0.0000 0.0000 0.0000
Ca2 0.1993 0.1993 0.1993
P1 0.5997 0.5997 0.5997
Br1 0.4276 0.4276 0.4276

=====

Density functional theory data (meta-GGA SCAN) for a crystal of CaPS2Br relaxed with PBEsol.

## Properties
ρ ... 2.479 g/cm³
Volume ... 144.1 Å³/cell
Magnetic moment ... 1.458 Bohr magnetons per cell
Raw formation energy ... 538 meV per atom

Unit cell a=5.1017 b=5.1017 c=5.5363 alpha=90.00 beta=90.00 gamma=90.00
Fractional coordinates of all 5 atoms:
Ca1 0.0000 0.0000 0.0000
P1 0.0000 0.0000 0.5000
S1 0.0000 0.5000 0.0000
S2 0.5000 0.0000 0.0000
Br1 0.5000 0.5000 0.5000

=====

Density functional theory data (meta-GGA SCAN) for a crystal of CaPSeBr2 relaxed with PBEsol.

## Properties
ρ ... 4.044 g/cm³
Volume ... 127.2 Å³/cell
Magnetic moment ... 0.000 Bohr magnetons per cell
Raw formation energy ... -612 meV per atom

Unit cell a=5.0575 b=5.0575 c=4.9732 alpha=90.00 beta=90.00 gamma=90.00
Fractional coordinates of all 5 atoms:
Ca1 0.0000 0.0000 0.0000
P1 0.5000 0.5000 0.5000
Se1 0.5000 0.5000 0.0000
Br1 0.0000 0.5000 0.5000
Br2 0.5000 0.0000 0.5000

=====

Density functional theory data (meta-GGA SCAN) for a crystal of CaPbBr2 relaxed with PBEsol.

## Properties
ρ ... 5.104 g/cm³
E above lowest polymorph ... 0.000 eV per atom
Volume ... 132.5 Å³/cell
Magnetic moment ... 0.000 Bohr magnetons per cell
Raw formation energy ... -1256 meV per atom

Unit cell a=3.4654 b=3.4654 c=11.0296 alpha=90.00 beta=90.00 gamma=90.00
Fractional coordinates of all 4 atoms:
Ca1 0.0000 0.0000 0.0000
Pb1 0.0000 0.0000 0.5000
Br1 0.5000 0.5000 0.1540
Br2 0.5000 0.5000 0.8460

=====

Q: What is the formula in the first record?
A: Ca2PBr

=====

Q: What is the magnetic moment in the sixth record?
A: 0.000 Bohr magnetons per cell